Rb3CuAu after structural relaxation. Source: Alexandria via LeMat-Bulk, functional GGA-PBEsol.

a b c (Å): 6.408 6.408 6.408
angles (deg): 90.00 90.00 90.00
Element x y z (fractional)
Cu: 0.500 0.500 0.500
Rb: 0.000 0.500 0.000
Rb: 0.000 0.000 0.500
Rb: 0.500 0.000 0.000
Au: 0.000 0.000 0.000

## Properties
* E_form: 380 meV/atom